(1)
A plane-wave DFT calculation with PBE was carried out for Sm5Hg2Pb5 after structural relaxation.

Cell: 4.735 8.771 9.320 Å, 76.64 75.28 74.34°
Atoms (fractional coordinates):
Hg 0.867 0.551 0.714
Hg 0.133 0.449 0.286
Pb 0.233 0.691 0.843
Pb 0.925 0.787 0.363
Pb 0.075 0.213 0.637
Pb 0.000 0.000 0.000
Pb 0.767 0.309 0.157
Sm 0.691 0.940 0.678
Sm 0.500 0.500 0.500
Sm 0.601 0.704 0.094
Sm 0.399 0.296 0.906
Sm 0.309 0.060 0.322

Computed properties:
For the total energy, the calculation gives -4.000 eV per atom. As for the volume: 355.0 Å³/cell. The calculation puts the energy relative to the elements at -0.4386 eV/atom. The total magnetization comes out at 0.000 μB/cell. The density of states at the Fermi level comes out at 5.52 states/eV per cell.


(2)
A plane-wave DFT calculation with PBE was carried out for Sm4HgPb3 after structural relaxation.

Cell: 5.118 5.118 9.527 Å, 105.55 105.55 90.11°
Atoms (fractional coordinates):
Sm 0.622 0.622 0.244
Sm 0.378 0.378 0.756
Sm 0.878 0.879 0.756
Sm 0.122 0.121 0.244
Pb 0.000 0.500 0.000
Pb 0.749 0.249 0.498
Pb 0.251 0.751 0.502
Hg 0.500 0.000 0.000

Computed properties:
For the total energy, the calculation gives -4.277 eV per atom. As for the volume: 230.8 Å³/cell. The calculation puts the energy relative to the elements at -0.4890 eV/atom. The total magnetization comes out at 0.000 μB/cell. The density of states at the Fermi level comes out at 7.22 states/eV per cell.


(3)
A plane-wave DFT calculation with PBE was carried out for Sm2Hg3Pb after structural relaxation.

Cell: 3.578 4.421 11.362 Å, 101.22 99.06 90.00°
Atoms (fractional coordinates):
Hg 0.302 0.802 0.604
Hg 0.695 0.695 0.389
Hg 0.547 0.547 0.094
Sm 0.116 0.116 0.231
Sm 0.882 0.382 0.763
Pb 0.459 0.959 0.918

Computed properties:
For the excess energy over the best structure of this formula in the dataset, the calculation gives 0.0 kJ/mol of atoms. For the total energy, the calculation gives -2.586 eV per atom. As for the volume: 174.0 Å³/cell. The calculation puts the energy relative to the elements at -0.2441 eV/atom. The total magnetization comes out at 0.000 μB/cell. The density of states at the Fermi level comes out at 4.16 states/eV per cell.


(4)
A plane-wave DFT calculation with PBE was carried out for Sm8Hg2Pb after structural relaxation.

Cell: 5.383 8.712 8.798 Å, 118.73 107.81 90.00°
Atoms (fractional coordinates):
Sm 0.144 0.198 0.289
Sm 0.856 0.802 0.711
Sm 0.595 0.455 0.190
Sm 0.683 0.957 0.365
Sm 0.405 0.545 0.810
Sm 0.067 0.721 0.135
Sm 0.317 0.043 0.635
Sm 0.933 0.279 0.865
Hg 0.218 0.612 0.435
Hg 0.782 0.388 0.565
Pb 0.500 0.000 0.000

Computed properties:
For the total energy, the calculation gives -4.092 eV per atom. As for the volume: 339.0 Å³/cell. The calculation puts the energy relative to the elements at -0.2674 eV/atom. The total magnetization comes out at 0.000 μB/cell. The density of states at the Fermi level comes out at 10.52 states/eV per cell.


(5)
A plane-wave DFT calculation with PBE was carried out for Sm2Hg4Pb3 after structural relaxation.

Cell: 4.709 5.676 10.639 Å, 72.85 77.21 65.49°
Atoms (fractional coordinates):
Hg 0.010 0.654 0.326
Hg 0.327 0.453 0.892
Hg 0.990 0.346 0.674
Hg 0.673 0.547 0.108
Pb 0.330 0.777 0.562
Pb 0.670 0.223 0.438
Pb 0.000 0.000 0.000
Sm 0.654 0.902 0.789
Sm 0.346 0.098 0.211

Computed properties:
For the total energy, the calculation gives -2.714 eV per atom. As for the volume: 245.6 Å³/cell. The calculation puts the energy relative to the elements at -0.2947 eV/atom. The total magnetization comes out at 0.000 μB/cell. The density of states at the Fermi level comes out at 4.14 states/eV per cell.


(6)
A plane-wave DFT calculation with PBE was carried out for Sm2Hg4Pb after structural relaxation.

Cell: 5.665 5.665 8.733 Å, 108.93 108.93 90.00°
Atoms (fractional coordinates):
Hg 0.500 0.000 0.000
Hg 0.000 0.500 0.000
Hg 0.803 0.803 0.605
Hg 0.197 0.197 0.395
Sm 0.608 0.608 0.216
Sm 0.392 0.392 0.784
Pb 0.000 0.000 0.000

Computed properties:
For the excess energy over the best structure of this formula in the dataset, the calculation gives 42.5 kJ/mol of atoms. For the total energy, the calculation gives -1.948 eV per atom. As for the volume: 249.1 Å³/cell. The calculation puts the energy relative to the elements at 0.1024 eV/atom. The total magnetization comes out at 0.000 μB/cell. The density of states at the Fermi level comes out at 6.27 states/eV per cell.


(7)
A plane-wave DFT calculation with PBE was carried out for SmHg6Pb after structural relaxation.

Cell: 6.210 6.210 8.865 Å, 69.50 69.50 60.00°
Atoms (fractional coordinates):
Hg 0.930 0.445 0.695
Hg 0.445 0.930 0.695
Hg 0.070 0.070 0.305
Hg 0.070 0.555 0.305
Hg 0.555 0.070 0.305
Hg 0.930 0.930 0.695
Pb 0.500 0.500 0.500
Sm 0.000 0.000 0.000

Computed properties:
For the excess energy over the best structure of this formula in the dataset, the calculation gives 25.7 kJ/mol of atoms. For the total energy, the calculation gives -1.178 eV per atom. As for the volume: 270.8 Å³/cell. The calculation puts the energy relative to the elements at 0.1014 eV/atom. The total magnetization comes out at 0.000 μB/cell. The density of states at the Fermi level comes out at 5.27 states/eV per cell.


(8)
A plane-wave DFT calculation with PBE was carried out for Sm3Hg2Pb2 after structural relaxation.

Cell: 5.030 5.047 9.272 Å, 102.90 93.79 117.22°
Atoms (fractional coordinates):
Hg 0.845 0.693 0.538
Hg 0.155 0.307 0.462
Pb 0.714 0.429 0.144
Pb 0.286 0.571 0.856
Sm 0.566 0.136 0.700
Sm 0.434 0.864 0.300
Sm 0.000 0.000 0.000

Computed properties:
For the total energy, the calculation gives -3.606 eV per atom. As for the volume: 200.1 Å³/cell. The calculation puts the energy relative to the elements at -0.4381 eV/atom. The total magnetization comes out at 0.000 μB/cell. The density of states at the Fermi level comes out at 3.57 states/eV per cell.


- Which of these has the lowest energy relative to the elements?
  Sm4HgPb3


- What is the formula in the third record?
  Sm2Hg3Pb